The following is a DFT calculation (PBE-GGA) of crystalline TlCd2InI6 at its relaxed geometry.

Output
Magnetic moment   0.0 μB per formula unit
Energy   -2.188 eV per atom
Raw formation energy   -564.4 meV per atom
SG   C2/c, No. 15

Lattice parameters (Å, degrees): 8.475 10.810 10.810 84.01 79.69 79.69
Sites, in units of the cell vectors:
Tl 0.250 0.896 0.104
Tl 0.750 0.104 0.896
Cd 0.242 0.795 0.619
Cd 0.258 0.381 0.205
Cd 0.758 0.205 0.381
Cd 0.742 0.619 0.795
In 0.250 0.288 0.712
In 0.750 0.712 0.288
I 0.161 0.984 0.791
I 0.339 0.209 0.016
I 0.839 0.016 0.209
I 0.661 0.791 0.984
I 0.382 0.896 0.386
I 0.118 0.614 0.104
I 0.618 0.104 0.614
I 0.882 0.386 0.896
I 0.958 0.701 0.577
I 0.542 0.423 0.299
I 0.042 0.299 0.423
I 0.458 0.577 0.701